# 1
Here is crystalline AlV2Os2 at its relaxed geometry from Alexandria. Energies are from GGA-PBE.

```
AlV2Os2
1.0
7.1963 0.0000 0.0000
0.0000 7.1963 0.0000
0.0000 0.0000 2.8912
V Os Al
4 4 2
Direct
0.1607 0.6607 0.5000
0.3393 0.1607 0.5000
0.8393 0.3393 0.5000
0.6607 0.8393 0.5000
0.6375 0.1375 0.0000
0.3625 0.8625 0.0000
0.1375 0.3625 0.0000
0.8625 0.6375 0.0000
0.0000 0.0000 0.0000
0.5000 0.5000 0.0000
```

Values from the calculation:
DOS(E_F)   0.829 states/eV/atom
ΔE to the lowest computed polymorph   0.3133 eV per atom
Total DFT energy (no corrections)   -8.963 eV per atom
Total magnetic moment   0.0 μB/cell
SG   P4/mbm, No. 127
Crystal system   tetragonal

# 2
Here is crystalline Al2VOs2 at its relaxed geometry from Alexandria. Energies are from GGA-PBE.

```
Al2VOs2
1.0
-2.7909 1.1193 0.1444
-0.2005 -0.8581 2.7748
3.0860 7.1824 3.9714
V Al Os
1 2 2
Direct
0.0000 0.0000 0.0000
0.0000 0.1790 0.6419
0.0000 0.8210 0.3581
0.5000 0.5886 0.8229
0.5000 0.4114 0.1771
```

Values from the calculation:
DOS(E_F)   0.500 states/eV/atom
ΔE to the lowest computed polymorph   0.0000 eV per atom
Total DFT energy (no corrections)   -8.092 eV per atom
Total magnetic moment   0.0 μB/cell
SG   Cmmm, No. 65
Crystal system   orthorhombic

# 3
Here is crystalline Al2VOs2 at its relaxed geometry from Alexandria. Energies are from GGA-PBE.

```
Al2VOs2
1.0
7.0538 0.0000 0.0000
0.0000 7.0538 0.0000
0.0000 0.0000 2.9181
Al Os V
4 4 2
Direct
0.6294 0.1294 0.0000
0.3706 0.8706 0.0000
0.8706 0.6294 0.0000
0.1294 0.3706 0.0000
0.6698 0.8302 0.5000
0.1698 0.6698 0.5000
0.8302 0.3302 0.5000
0.3302 0.1698 0.5000
0.5000 0.5000 0.0000
0.0000 0.0000 0.0000
```

Values from the calculation:
DOS(E_F)   0.847 states/eV/atom
ΔE to the lowest computed polymorph   0.1891 eV per atom
Total DFT energy (no corrections)   -7.903 eV per atom
Total magnetic moment   3.5 μB/cell
SG   P4/mbm, No. 127
Crystal system   tetragonal

# 4
Here is crystalline YAl2VOs at its relaxed geometry from Alexandria. Energies are from GGA-PBE.

```
YAl2VOs
1.0
4.7065 0.0000 0.0000
0.0000 4.5254 0.0000
0.0000 0.0000 4.7065
Os Al Y V
1 2 1 1
Direct
0.0000 0.5000 0.0000
0.0000 0.0000 0.5000
0.5000 0.0000 0.0000
0.5000 0.5000 0.5000
0.0000 0.0000 0.0000
```

Values from the calculation:
DOS(E_F)   0.665 states/eV/atom
Total DFT energy (no corrections)   -6.571 eV per atom
Total magnetic moment   0.0 μB/cell
SG   P4/mmm, No. 123
Crystal system   tetragonal

# 5
Here is crystalline AlOsW at its relaxed geometry from Alexandria. Energies are from GGA-PBE.

```
AlOsW
1.0
-1.9928 3.0431 -2.1207
-3.8881 1.1549 1.1307
-0.6414 3.7501 1.8040
Al W Os
1 1 1
Direct
0.5000 0.5000 0.5000
0.0000 0.0000 0.0000
0.7500 0.7500 0.7500
```

Values from the calculation:
DOS(E_F)   0.846 states/eV/atom
ΔE to the lowest computed polymorph   0.2645 eV per atom
Total DFT energy (no corrections)   -9.272 eV per atom
Total magnetic moment   0.0 μB/cell
SG   F-43m, No. 216
Crystal system   cubic

# 6
Here is crystalline Al2OsW2 at its relaxed geometry from Alexandria. Energies are from GGA-PBE.

```
Al2OsW2
1.0
-1.4717 0.8175 -2.9345
-1.1844 -3.1561 -0.2852
-7.1934 0.7184 1.8576
W Al Os
2 2 1
Direct
0.4006 0.4006 0.1988
0.5994 0.5994 0.8012
0.2500 0.7500 0.5000
0.7500 0.2500 0.5000
0.0000 0.0000 0.0000
```

Values from the calculation:
DOS(E_F)   0.833 states/eV/atom
ΔE to the lowest computed polymorph   0.1045 eV per atom
Total DFT energy (no corrections)   -8.305 eV per atom
Total magnetic moment   0.0 μB/cell
SG   I4/mmm, No. 139
Crystal system   tetragonal

# 7
Here is crystalline AlOsW3 at its relaxed geometry from Alexandria. Energies are from GGA-PBE.

```
AlOsW3
1.0
4.4416 0.0000 0.0000
0.0000 4.4416 0.0000
0.0000 0.0000 4.4416
Os W Al
1 3 1
Direct
0.5000 0.5000 0.5000
0.5000 0.0000 0.0000
0.0000 0.5000 0.0000
0.0000 0.0000 0.5000
0.0000 0.0000 0.0000
```

Values from the calculation:
DOS(E_F)   0.908 states/eV/atom
ΔE to the lowest computed polymorph   0.0604 eV per atom
Total DFT energy (no corrections)   -8.805 eV per atom
Total magnetic moment   0.0 μB/cell
SG   Pm-3m, No. 221
Crystal system   cubic

# 8
Here is crystalline Al2OsW2 at its relaxed geometry from Alexandria. Energies are from GGA-PBE.

```
Al2OsW2
1.0
6.4698 0.0000 0.0000
0.0000 6.4698 0.0000
0.0000 0.0000 4.1210
Al Os W
4 2 4
Direct
0.6638 0.8362 0.5000
0.3362 0.1638 0.5000
0.1638 0.6638 0.5000
0.8362 0.3362 0.5000
0.0000 0.0000 0.0000
0.5000 0.5000 0.0000
0.1382 0.3618 0.0000
0.8618 0.6382 0.0000
0.6382 0.1382 0.0000
0.3618 0.8618 0.0000
```

Values from the calculation:
DOS(E_F)   0.721 states/eV/atom
ΔE to the lowest computed polymorph   0.0000 eV per atom
Total DFT energy (no corrections)   -8.410 eV per atom
Total magnetic moment   0.0 μB/cell
SG   P4/mbm, No. 127
Crystal system   tetragonal

# 9
Here is crystalline AlOsW at its relaxed geometry from Alexandria. Energies are from GGA-PBE.

```
AlOsW
1.0
4.2815 0.0000 0.0000
-2.1407 3.7079 0.0000
0.0000 0.0000 2.8302
Os W Al
1 1 1
Direct
0.6667 0.3333 0.2736
0.3333 0.6667 0.6424
0.0000 0.0000 0.0841
```

Values from the calculation:
DOS(E_F)   0.821 states/eV/atom
ΔE to the lowest computed polymorph   0.1915 eV per atom
Total DFT energy (no corrections)   -9.345 eV per atom
Total magnetic moment   0.0 μB/cell
SG   P3m1, No. 156
Crystal system   trigonal

# 10
Here is crystalline AlOs4W at its relaxed geometry from Alexandria. Energies are from GGA-PBE.

```
AlOs4W
1.0
2.8157 1.7039 3.9128
1.6573 4.8366 0.0417
-1.9856 3.3542 3.3087
Al Os W
1 4 1
Direct
0.0000 0.0000 0.0000
0.8766 0.3745 0.3745
0.3745 0.3745 0.3745
0.3745 0.8766 0.3745
0.3745 0.3745 0.8766
0.7500 0.7500 0.7500
```

Values from the calculation:
DOS(E_F)   1.195 states/eV/atom
Total DFT energy (no corrections)   -9.776 eV per atom
Total magnetic moment   0.0 μB/cell
SG   F-43m, No. 216
Crystal system   cubic

# 11
Here is crystalline AlOsW3 at its relaxed geometry from Alexandria. Energies are from GGA-PBE.

```
AlOsW3
1.0
4.7461 0.0000 0.0000
0.0000 4.7461 0.0000
0.0000 0.0000 4.7461
W Os Al
3 1 1
Direct
0.0000 0.0000 0.5000
0.0000 0.5000 0.0000
0.5000 0.0000 0.0000
0.0000 0.0000 0.0000
0.5000 0.5000 0.5000
```

Values from the calculation:
DOS(E_F)   1.406 states/eV/atom
ΔE to the lowest computed polymorph   0.0000 eV per atom
Total DFT energy (no corrections)   -8.866 eV per atom
Total magnetic moment   0.0 μB/cell
SG   Pm-3m, No. 221
Crystal system   cubic

# 12
Here is crystalline Al2Os2W at its relaxed geometry from Alexandria. Energies are from GGA-PBE.

```
Al2Os2W
1.0
2.9396 0.0000 0.0000
0.0000 2.8019 0.5309
0.0000 -0.3315 9.4087
W Al Os
1 2 2
Direct
0.0000 0.0000 0.0000
0.0000 0.8162 0.3676
0.0000 0.1838 0.6324
0.5000 0.4030 0.1940
0.5000 0.5970 0.8060
```

Values from the calculation:
DOS(E_F)   0.620 states/eV/atom
Total DFT energy (no corrections)   -8.733 eV per atom
Total magnetic moment   0.0 μB/cell
SG   Cmmm, No. 65
Crystal system   orthorhombic

# 13
Here is crystalline AlOsW4 at its relaxed geometry from Alexandria. Energies are from GGA-PBE.

```
AlOsW4
1.0
4.0056 -0.1571 3.3316
1.3361 4.2711 2.6725
-0.8691 0.2401 5.1338
W Al Os
4 1 1
Direct
0.1297 0.6234 0.6234
0.6234 0.6234 0.6234
0.6234 0.1297 0.6234
0.6234 0.6234 0.1297
0.2500 0.2500 0.2500
0.0000 0.0000 0.0000
```

Values from the calculation:
DOS(E_F)   0.934 states/eV/atom
Total DFT energy (no corrections)   -10.603 eV per atom
Total magnetic moment   0.0 μB/cell
SG   F-43m, No. 216
Crystal system   cubic

# 14
Here is crystalline AlOsW at its relaxed geometry from Alexandria. Energies are from GGA-PBE.

```
AlOsW
1.0
-3.2829 -0.1393 -1.4904
0.7106 -7.4997 -0.8645
-3.2378 -1.1412 7.2387
Os Al W
4 4 4
Direct
0.7500 0.4026 0.8934
0.2500 0.9026 0.6066
0.7500 0.0974 0.3934
0.2500 0.5974 0.1066
0.7500 0.3922 0.5713
0.2500 0.8922 0.9287
0.2500 0.6078 0.4287
0.7500 0.1078 0.0713
0.2500 0.9149 0.2670
0.2500 0.5851 0.7670
0.7500 0.4149 0.2330
0.7500 0.0851 0.7330
```

Values from the calculation:
DOS(E_F)   0.546 states/eV/atom
ΔE to the lowest computed polymorph   0.6215 eV per atom
Total DFT energy (no corrections)   -8.915 eV per atom
Total magnetic moment   0.0 μB/cell
SG   Pnma, No. 62
Crystal system   orthorhombic